# LaCuBPd6

LaCuBPd6 after structural relaxation (PBE, Alexandria).

abc: 5.823 9.165 7.855
angles: 125.69 111.76 90.00
Fractional positions:
La  0.822  0.572  0.645
La  0.178  0.428  0.355
Cu  0.500  0.000  0.500
Cu  0.000  0.000  0.500
B  0.500  0.500  0.000
B  0.500  0.000  0.000
Pd  0.464  0.714  0.927
Pd  0.941  0.191  0.881
Pd  0.875  0.114  0.254
Pd  0.379  0.639  0.254
Pd  0.379  0.114  0.254
Pd  0.875  0.639  0.254
Pd  0.536  0.286  0.073
Pd  0.059  0.809  0.119
Pd  0.125  0.886  0.746
Pd  0.621  0.361  0.746
Pd  0.621  0.886  0.746
Pd  0.125  0.361  0.746

Properties
total energy	-5.470	eV per atom
space-group type	Imma, No. 74
N(E_F)	0.30	states/eV/atom
calculated formation energy	-264	meV per atom